La3Si3Rh | PBE | optimized geometry

The structure in POSCAR format:
```
La3Si3Rh
1.0
-0.842 3.117 2.902
-4.879 -1.424 3.361
6.454 -5.251 10.759
La Si Rh
6 6 2
Direct
0.526 0.337 0.612
0.474 0.663 0.388
0.256 0.261 0.227
0.744 0.739 0.773
0.390 0.299 0.920
0.610 0.701 0.080
0.821 0.818 0.540
0.179 0.182 0.460
0.094 0.886 0.927
0.906 0.114 0.073
0.956 0.857 0.232
0.044 0.143 0.768
0.762 0.094 0.383
0.238 0.906 0.617
```

Computed properties:
space-group type	C2/m, No. 12
E_form (uncorrected)	-0.810	eV per atom